[1]
Material: Cu2As2Os
Method: DFT, GGA-PBE
State: optimized geometry

Unit cell a=9.1808 b=8.2479 c=5.3245 alpha=82.09 beta=62.85 gamma=35.06
With the nearest neighbours (Å) after each atom.
Positions (direct):
Cu: 0.0971 0.0971 0.6529  2 Cu 2.61, 4 As 2.67-2.75, 2 Os 2.70
Cu: 0.3471 0.3471 0.9029  2 Cu 2.61, 4 As 2.67-2.75, 2 Os 2.70
Cu: 0.6529 0.6529 0.0971  2 Cu 2.61, 4 As 2.67-2.75, 2 Os 2.70
Cu: 0.9029 0.9029 0.3471  2 Cu 2.61, 4 As 2.67-2.75, 2 Os 2.70
As: 0.0000 0.5000 0.5000  2 Os 2.38
As: 0.5000 0.0000 0.5000  2 Os 2.38
As: 0.5000 0.5000 0.0000  2 Os 2.38
As: 0.5000 0.5000 0.5000  2 Os 2.38
Os: 0.3750 0.3750 0.3750  4 As 2.38
Os: 0.6250 0.6250 0.6250  4 As 2.38

- Uncorrected energy: -5.0808 eV per atom
- Symmetry: Fddd, No. 70

[2]
Material: YHf2Ta
Method: DFT, GGA-PBE
State: optimized geometry

Unit cell a=5.0373 b=5.0373 c=5.0373 alpha=60.00 beta=60.00 gamma=60.00
With the nearest neighbours (Å) after each atom.
Positions (direct):
Y: 0.0000 0.0000 0.0000  4 Hf 3.08, 4 Ta 3.08
Hf: 0.2500 0.2500 0.2500  4 Hf 3.08, 4 Y 3.08
Hf: 0.5000 0.5000 0.5000  4 Hf 3.08, 4 Ta 3.08
Ta: 0.7500 0.7500 0.7500  4 Hf 3.08, 4 Y 3.08

- Uncorrected energy: -9.1623 eV per atom
- Symmetry: F-43m, No. 216
- DFT formation energy: 394.8 meV/atom